[1]
# Na3Tl2Hg4

A relaxed Na3Tl2Hg4 crystal (PBE, Alexandria via LeMat-Bulk).

Unit cell a=9.049 b=9.049 c=6.840 alpha=90.01 beta=90.01 gamma=59.85
Element x y z (fractional)
Na: 0.000 0.000 0.250
Na: 0.000 0.000 0.750
Na: 0.339 0.339 0.250
Na: 0.339 0.339 0.750
Na: 0.661 0.661 0.250
Na: 0.661 0.661 0.750
Tl: 0.005 0.327 0.001
Tl: 0.327 0.005 0.501
Tl: 0.673 0.995 0.499
Tl: 0.995 0.673 0.999
Hg: 0.006 0.660 0.499
Hg: 0.332 0.665 0.500
Hg: 0.335 0.668 0.000
Hg: 0.340 0.994 0.001
Hg: 0.660 0.006 0.999
Hg: 0.665 0.332 0.000
Hg: 0.668 0.335 0.500
Hg: 0.994 0.340 0.501

Output
Its energy above the most stable polymorph in this dataset is 0.00 kcal/mol of atoms. The space-group type is C2/c, No. 15. The formation energy is -1.73 eV per formula unit.

---

[2]
# Na2TlHg2

A relaxed Na2TlHg2 crystal (PBE, Alexandria via LeMat-Bulk).

Unit cell a=7.844 b=7.844 c=7.844 alpha=146.37 beta=146.37 gamma=48.30
Element x y z (fractional)
Na: 0.250 0.750 0.500
Na: 0.750 0.250 0.500
Tl: 0.000 0.000 0.000
Hg: 0.398 0.398 0.000
Hg: 0.602 0.602 0.000

Output
Its energy above the most stable polymorph in this dataset is 2.62 kcal/mol of atoms. The space-group type is I4/mmm, No. 139. The formation energy is -0.37 eV per formula unit.

---

[3]
# Na4Tl7Hg

A relaxed Na4Tl7Hg crystal (PBE, Alexandria via LeMat-Bulk).

Unit cell a=6.649 b=7.022 c=8.153 alpha=97.27 beta=99.06 gamma=110.14
Element x y z (fractional)
Na: 0.040 0.328 0.326
Na: 0.328 0.184 0.683
Na: 0.672 0.816 0.317
Na: 0.960 0.672 0.674
Tl: 0.177 0.840 0.325
Tl: 0.248 0.494 0.000
Tl: 0.455 0.683 0.653
Tl: 0.500 0.000 0.000
Tl: 0.545 0.317 0.347
Tl: 0.752 0.506 0.000
Tl: 0.823 0.160 0.675
Hg: 0.000 0.000 0.000

Output
The space-group type is P-1, No. 2. The formation energy is -1.08 eV per formula unit.

---

no.,energy (eV/atom)
1,-1.292
2,-1.195
3,-1.935